Entry 1:
First-principles (PBE) data for an optimized crystal structure of Mg2SnSbO6, as listed in Alexandria.

Lattice parameters (Å, degrees): 5.3919 7.9641 5.5047 90.00 90.03 90.00
Positions (direct):
Mg 0.0038 0.2500 0.0364
Mg 0.4961 0.2500 0.5419
Mg 0.5039 0.7500 0.4581
Mg 0.9962 0.7500 0.9636
Sn 0.5000 0.0000 0.0000
Sn 0.5000 0.5000 0.0000
Sb 0.0000 0.0000 0.5000
Sb 0.0000 0.5000 0.5000
O 0.1284 0.2500 0.4140
O 0.1717 0.5728 0.1728
O 0.1717 0.9272 0.1728
O 0.3334 0.5730 0.6755
O 0.3334 0.9270 0.6755
O 0.3636 0.2500 0.9089
O 0.6364 0.7500 0.0911
O 0.6666 0.0730 0.3245
O 0.6666 0.4270 0.3245
O 0.8283 0.0728 0.8272
O 0.8283 0.4272 0.8272
O 0.8716 0.7500 0.5860

## Properties
space group: No. 11
density of states at the Fermi level: 0.130 states/eV per atom
size of the total moment: 0.0 μB per formula unit
formation energy (no corrections): -1.868 eV per atom

=====

Entry 2:
First-principles (PBE) data for an optimized crystal structure of KNaAs3, as listed in Alexandria.

Lattice parameters (Å, degrees): 9.9750 9.9750 9.9879 113.13 113.13 21.39
Positions (direct):
K 0.1165 0.1165 0.1794
K 0.8835 0.8835 0.8206
Na 0.3884 0.3884 0.4478
Na 0.6116 0.6116 0.5522
As 0.0208 0.0208 0.6860
As 0.2429 0.2429 0.5760
As 0.4518 0.4518 0.1408
As 0.5482 0.5482 0.8592
As 0.7571 0.7571 0.4240
As 0.9792 0.9792 0.3140

## Properties
DFT formation energy: -0.2697 eV per atom
space group: No. 12
density of states at the Fermi level: 0.362 states/eV per atom
size of the total moment: 0.0 μB per formula unit
polymorph energy (0 for the lowest one): 0 meV per atom

=====

Entry 3:
First-principles (PBE) data for an optimized crystal structure of BaCaPm4, as listed in Alexandria.

Lattice parameters (Å, degrees): 7.0256 7.0256 7.0256 60.00 60.00 60.00
Positions (direct):
Ba 0.0000 0.0000 0.0000
Ca 0.2500 0.2500 0.2500
Pm 0.1316 0.6228 0.6228
Pm 0.6228 0.1316 0.6228
Pm 0.6228 0.6228 0.1316
Pm 0.6228 0.6228 0.6228

## Properties
DFT formation energy: 0.2173 eV per atom
space group: No. 216
density of states at the Fermi level: 1.850 states/eV per atom
size of the total moment: 0.0 μB per formula unit

=====

Entry 4:
First-principles (PBE) data for an optimized crystal structure of Sr4PdAu3, as listed in Alexandria.

Lattice parameters (Å, degrees): 4.3067 4.7151 11.6354 90.00 90.00 90.00
Positions (direct):
Sr 0.0000 0.0000 0.0000
Sr 0.0000 0.5000 0.2695
Sr 0.5000 0.0000 0.4883
Sr 0.5000 0.5000 0.7732
Pd 0.5000 0.0000 0.2072
Au 0.0000 0.0000 0.7119
Au 0.0000 0.5000 0.5543
Au 0.5000 0.5000 0.0579

## Properties
DFT formation energy: -0.7420 eV per atom
space group: No. 25
density of states at the Fermi level: 0.517 states/eV per atom
size of the total moment: 0.0 μB per formula unit

=====

Entry 5:
First-principles (PBE) data for an optimized crystal structure of Ti3Rh, as listed in Alexandria.

Lattice parameters (Å, degrees): 2.9320 9.1121 4.9077 90.00 90.00 90.00
Positions (direct):
Ti 0.0000 0.0000 0.0000
Ti 0.0000 0.2200 0.4090
Ti 0.0000 0.7800 0.4090
Ti 0.5000 0.2800 0.9090
Ti 0.5000 0.5000 0.5000
Ti 0.5000 0.7200 0.9090
Rh 0.0000 0.5000 0.0667
Rh 0.5000 0.0000 0.5667

## Properties
DFT formation energy: -0.3408 eV per atom
space group: No. 44
density of states at the Fermi level: 1.365 states/eV per atom
size of the total moment: 0.0 μB per formula unit

=====

Entry 6:
First-principles (PBE) data for an optimized crystal structure of HfH, as listed in Alexandria.

Lattice parameters (Å, degrees): 3.0112 3.0315 5.1100 90.00 90.00 90.00
Positions (direct):
Hf 0.2500 0.2500 0.2495
Hf 0.7500 0.7500 0.7505
H 0.2500 0.2500 0.6679
H 0.7500 0.7500 0.3321

## Properties
space group: No. 59
density of states at the Fermi level: 0.561 states/eV per atom
size of the total moment: 0.0 μB per formula unit
energy: -6.918 eV/atom